Record 1
PBE Na4SrSb2, relaxed; D(E_F) = 0.0154 states/eV per atom; DFT total energy = -2.7215 eV/atom; SG = P4_2/mnm, No. 136; formation energy (no corrections) = -3.85 eV/f.u.
1.0
5.1941 0.0000 0.0000
0.0000 9.0728 0.0000
0.0000 0.0000 9.0728
Sb Na Sr
4 8 2
Direct
0.0000 0.7883 0.2117 Sb
0.5000 0.2883 0.2883 Sb
0.5000 0.7117 0.7117 Sb
0.0000 0.2117 0.7883 Sb
0.5000 0.1585 0.6028 Na
0.0000 0.6585 0.8972 Na
0.0000 0.3415 0.1028 Na
0.5000 0.3972 0.8415 Na
0.5000 0.8415 0.3972 Na
0.0000 0.1028 0.3415 Na
0.5000 0.6028 0.1585 Na
0.0000 0.8972 0.6585 Na
0.0000 0.5000 0.5000 Sr
0.5000 0.0000 0.0000 Sr

***

Record 2
PBE Li2CuTe, relaxed; D(E_F) = 0.3793 states/eV per atom; DFT total energy = -2.9446 eV/atom; SG = I-42d, No. 122; formation energy (no corrections) = -0.71 eV/f.u.
1.0
-1.9425 -3.0583 -1.9076
-1.7348 -1.1063 3.5401
-8.8745 3.4574 -0.9005
Cu Te Li
2 2 4
Direct
0.2500 0.7500 0.5000 Cu
0.5000 0.5000 0.0000 Cu
0.0000 0.0000 0.0000 Te
0.7500 0.2500 0.5000 Te
0.3750 0.3785 0.7500 Li
0.1285 0.6250 0.2500 Li
0.6215 0.1250 0.2500 Li
0.8750 0.8715 0.7500 Li

***

Record 3
PBE KCuIrSe3, relaxed; D(E_F) = 0.4192 states/eV per atom; DFT total energy = -4.5847 eV/atom; SG = P2_1/m, No. 11; formation energy (no corrections) = -3.00 eV/f.u.
1.0
-3.4836 -1.3699 -1.0904
1.9571 -7.4604 3.1197
-4.1791 5.4775 6.4699
Ir Se Cu K
2 6 2 2
Direct
0.2500 0.6797 0.1502 Ir
0.7500 0.3203 0.8498 Ir
0.2500 0.5227 0.8681 Se
0.2500 0.7629 0.4405 Se
0.2500 0.1283 0.8617 Se
0.7500 0.2371 0.5595 Se
0.7500 0.4773 0.1319 Se
0.7500 0.8717 0.1383 Se
0.2500 0.0744 0.5917 Cu
0.7500 0.9256 0.4083 Cu
0.7500 0.7696 0.7385 K
0.2500 0.2304 0.2615 K

***

Which formula does entry 3 have?
KCuIrSe3

***

What did the first record say?
PBE Na4SrSb2, relaxed; D(E_F) = 0.0154 states/eV per atom; DFT total energy = -2.7215 eV/atom; SG = P4_2/mnm, No. 136; formation energy (no corrections) = -3.85 eV/f.u.
1.0
5.1941 0.0000 0.0000
0.0000 9.0728 0.0000
0.0000 0.0000 9.0728
Sb Na Sr
4 8 2
Direct
0.0000 0.7883 0.2117 Sb
0.5000 0.2883 0.2883 Sb
0.5000 0.7117 0.7117 Sb
0.0000 0.2117 0.7883 Sb
0.5000 0.1585 0.6028 Na
0.0000 0.6585 0.8972 Na
0.0000 0.3415 0.1028 Na
0.5000 0.3972 0.8415 Na
0.5000 0.8415 0.3972 Na
0.0000 0.1028 0.3415 Na
0.5000 0.6028 0.1585 Na
0.0000 0.8972 0.6585 Na
0.0000 0.5000 0.5000 Sr
0.5000 0.0000 0.0000 Sr

***

Which of these has the highest D(E_F)?
KCuIrSe3